VASP calculation (PBE) on crystalline Tl7In4Hg at its relaxed geometry.

a b c (Å): 3.4429 3.4429 34.0322
angles (deg): 90.00 90.00 120.00
Closest atoms and distances in Å follow each position.
Atoms (fractional coordinates):
Tl 0.0000 0.0000 0.0000  6 Tl 3.44, 6 In 3.45
Tl 0.0000 0.0000 0.2518  3 In 3.43, 9 Tl 3.44-3.56
Tl 0.0000 0.0000 0.7482  3 In 3.43, 9 Tl 3.44-3.56
Tl 0.3333 0.6667 0.1652  3 In 3.44, 9 Tl 3.44-3.56
Tl 0.3333 0.6667 0.4164  6 Tl 3.44, 3 In 3.44, 3 Hg 3.47
Tl 0.6667 0.3333 0.5836  6 Tl 3.44, 3 In 3.44, 3 Hg 3.47
Tl 0.6667 0.3333 0.8348  3 In 3.44, 9 Tl 3.44-3.56
In 0.3333 0.6667 0.6662  6 Tl 3.43-3.44, 6 In 3.44
In 0.3333 0.6667 0.9172  6 Tl 3.44-3.45, 6 In 3.44
In 0.6667 0.3333 0.0828  6 Tl 3.44-3.45, 6 In 3.44
In 0.6667 0.3333 0.3338  6 Tl 3.43-3.44, 6 In 3.44
Hg 0.0000 0.0000 0.5000  6 Hg 3.44, 6 Tl 3.47

Summary:
E_form   0.02 eV/atom
Magnetization   0.00 μB per atom
SG   P-3m1, No. 164
Total energy   -27.575 eV/cell

***

VASP calculation (PBE) on crystalline Sr3Re at its relaxed geometry.

a b c (Å): 5.9264 5.9264 5.9264
angles (deg): 127.01 127.01 78.24
Closest atoms and distances in Å follow each position.
Atoms (fractional coordinates):
Sr 0.0000 0.0000 0.0000  8 Sr 3.50, 4 Re 3.74
Sr 0.2500 0.7500 0.5000  4 Re 3.50, 8 Sr 3.50-3.74
Sr 0.7500 0.2500 0.5000  4 Re 3.50, 8 Sr 3.50-3.74
Re 0.5000 0.5000 0.0000  12 Sr 3.50-3.74

Summary:
E_form   0.96 eV/atom
Magnetization   0.26 μB per atom
SG   I4/mmm, No. 139
Total energy   -13.640 eV/cell
E above lowest polymorph   218 meV per atom

***

VASP calculation (PBE) on crystalline DyCd2Cu6 at its relaxed geometry.

a b c (Å): 7.5114 7.5114 7.5114
angles (deg): 154.26 123.73 62.87
Closest atoms and distances in Å follow each position.
Atoms (fractional coordinates):
Dy 0.0000 0.0000 0.0000  12 Cu 2.84-3.09
Cd 0.3582 0.8582 0.5000  10 Cu 2.66-2.85
Cd 0.6418 0.1418 0.5000  10 Cu 2.66-2.85
Cu 0.0049 0.3241 0.6809  4 Cu 2.47-2.71, 1 Cd 2.66
Cu 0.3240 0.5000 0.8240  3 Cu 2.47-2.49, 4 Cd 2.77
Cu 0.3568 0.6759 0.6809  4 Cu 2.47-2.71, 1 Cd 2.66
Cu 0.6432 0.3241 0.3191  4 Cu 2.47-2.71, 1 Cd 2.66
Cu 0.6760 0.5000 0.1760  3 Cu 2.47-2.49, 4 Cd 2.77
Cu 0.9951 0.6759 0.3191  4 Cu 2.47-2.71, 1 Cd 2.66

Summary:
E_form   0.05 eV/atom
Magnetization   0.00 μB per atom
SG   Immm, No. 71
Total energy   -30.570 eV/cell

***

Computed density of states at the Fermi level (states/eV/f.u.) in order:
5.082 4.838 4.563